The following is a PBE calculation of crystalline Tm2CdPb at its relaxed geometry, from Alexandria via LeMat-Bulk.

The space group is C2/m (No. 12) and the conventional cell measures 21.6394, 4.1554 and 4.7891 Å, with angles of 90.00, 90.02 and 90.00 degrees. Symmetry generates all atoms from Tm at (0.0566, 0.0000, 0.2504), Tm at (0.1857, 0.0000, 0.7503), Cd at (0.0561, 0.5000, 0.7507) and Pb at (0.1699, 0.5000, 0.2502).

For the formation energy from the elements, the calculation gives -0.360 eV per atom. Its crystal system is monoclinic. The value obtained for the density of states at the Fermi level is 11.03 states/eV/cell. The value obtained for the raw total energy is -3.7517 eV/atom.


The following is a PBE calculation of crystalline YTmCdPb at its relaxed geometry, from Alexandria via LeMat-Bulk.

The space group is F-43m (No. 216) and the conventional cell measures 7.5187, 7.5187 and 7.5187 Å, with angles of 90.00, 90.00 and 90.00 degrees. Symmetry generates all atoms from Y at (0.0000, 0.0000, 0.0000), Tm at (0.0000, 0.0000, 0.5000), Cd at (0.2500, 0.2500, 0.2500) and Pb at (0.2500, 0.2500, 0.7500).

For the formation energy from the elements, the calculation gives -0.368 eV per atom. Its crystal system is cubic. The value obtained for the density of states at the Fermi level is 13.07 states/eV/cell. The value obtained for the raw total energy is -4.2574 eV/atom.


The following is a PBE calculation of crystalline TmZnCdPb at its relaxed geometry, from Alexandria via LeMat-Bulk.

The space group is F-43m (No. 216) and the conventional cell measures 7.2672, 7.2672 and 7.2672 Å, with angles of 90.00, 90.00 and 90.00 degrees. Symmetry generates all atoms from Tm at (0.0000, 0.0000, 0.0000), Zn at (0.2500, 0.2500, 0.2500), Cd at (0.0000, 0.0000, 0.5000) and Pb at (0.2500, 0.2500, 0.7500).

For the formation energy from the elements, the calculation gives -0.060 eV per atom. Its crystal system is cubic. The value obtained for the density of states at the Fermi level is 16.57 states/eV/cell. The value obtained for the raw total energy is -2.6520 eV/atom.


The following is a PBE calculation of crystalline UCdPb2 at its relaxed geometry, from Alexandria via LeMat-Bulk.

The space group is P4/mmm (No. 123) and the conventional cell measures 4.9106, 4.9106 and 4.4125 Å, with angles of 90.00, 90.00 and 90.00 degrees. Symmetry generates all atoms from U at (0.0000, 0.0000, 0.0000), Cd at (0.5000, 0.5000, 0.0000) and Pb at (0.0000, 0.5000, 0.5000).

Its polymorph energy (0 for the lowest one) is 0 meV per atom. For the formation energy from the elements, the calculation gives 0.118 eV per atom. Its crystal system is tetragonal. The value obtained for the density of states at the Fermi level is 6.88 states/eV/cell. The value obtained for the raw total energy is -4.7874 eV/atom.


The following is a PBE calculation of crystalline UCd2Pb at its relaxed geometry, from Alexandria via LeMat-Bulk.

The space group is P4/mmm (No. 123) and the conventional cell measures 4.5625, 4.5625 and 4.9344 Å, with angles of 90.00, 90.00 and 90.00 degrees. Symmetry generates all atoms from U at (0.0000, 0.0000, 0.0000), Cd at (0.0000, 0.5000, 0.5000) and Pb at (0.5000, 0.5000, 0.0000).

For the formation energy from the elements, the calculation gives 0.167 eV per atom. Its crystal system is tetragonal. The value obtained for the density of states at the Fermi level is 5.74 states/eV/cell. The value obtained for the raw total energy is -4.0393 eV/atom.


The following is a PBE calculation of crystalline UCdPb2 at its relaxed geometry, from Alexandria via LeMat-Bulk.

The space group is R-3m (No. 166, hexagonal axes) and the conventional cell measures 3.2165, 3.2165 and 36.7899 Å, with angles of 90.00, 90.00 and 120.00 degrees. Symmetry generates all atoms from U at (0.0000, 0.0000, 0.0000), Cd at (0.0000, 0.0000, 0.5000) and Pb at (0.0000, 0.0000, 0.4126).

Its polymorph energy (0 for the lowest one) is 116 meV per atom. For the formation energy from the elements, the calculation gives 0.234 eV per atom. Its crystal system is trigonal. The value obtained for the density of states at the Fermi level is 18.57 states/eV/cell. The value obtained for the raw total energy is -4.6711 eV/atom.


The following is a PBE calculation of crystalline VCd3Pb at its relaxed geometry, from Alexandria via LeMat-Bulk.

The space group is Pm-3m (No. 221) and the conventional cell measures 5.5956, 5.5956 and 5.5956 Å, with angles of 90.00, 90.00 and 90.00 degrees. Symmetry generates all atoms from V at (0.0000, 0.0000, 0.0000), Cd at (0.0000, 0.5000, 0.5000) and Pb at (0.5000, 0.5000, 0.5000).

Its polymorph energy (0 for the lowest one) is 421 meV per atom. For the formation energy from the elements, the calculation gives 1.100 eV per atom. Its crystal system is cubic. The value obtained for the density of states at the Fermi level is 10.50 states/eV/cell. The value obtained for the raw total energy is -2.0149 eV/atom.


The following is a PBE calculation of crystalline VCd3Pb at its relaxed geometry, from Alexandria via LeMat-Bulk.

The space group is Pm-3m (No. 221) and the conventional cell measures 5.2822, 5.2822 and 5.2822 Å, with angles of 90.00, 90.00 and 90.00 degrees. Symmetry generates all atoms from V at (0.0000, 0.0000, 0.0000), Cd at (0.0000, 0.0000, 0.5000) and Pb at (0.5000, 0.5000, 0.5000).

Its polymorph energy (0 for the lowest one) is 0 meV per atom. For the formation energy from the elements, the calculation gives 0.679 eV per atom. Its crystal system is cubic. The value obtained for the density of states at the Fermi level is 5.59 states/eV/cell. The value obtained for the raw total energy is -2.4355 eV/atom.


Number 1: size of the total moment 0.0 Bohr magnetons per cell. Number 2: size of the total moment 0.0 Bohr magnetons per cell. Number 3: size of the total moment 0.0 Bohr magnetons per cell. Number 4: size of the total moment 2.7 Bohr magnetons per cell. Number 5: size of the total moment 2.9 Bohr magnetons per cell. Number 6: size of the total moment 6.4 Bohr magnetons per cell. Number 7: size of the total moment 4.6 Bohr magnetons per cell. Number 8: size of the total moment 3.2 Bohr magnetons per cell.